[1]
## B5C7 (PBE)

Data for an optimized crystal structure of B5C7.

Its density of states at the Fermi level is 2.064 states/eV/f.u. Its formation energy is 0.44 eV per atom. The crystal system is trigonal. The value obtained for the uncorrected energy is -7.7275 eV/atom. The calculation puts the spin magnetization at 0.07 μB/f.u. For the energy above the most stable polymorph in this dataset, the calculation gives 177 meV/atom.

POSCAR file:
```
B5C7
1.0
2.658 0.000 0.000
-1.329 2.302 0.000
0.000 0.000 16.658
B C
5 7
direct
0.000 0.000 0.000 B
0.000 0.000 0.369 B
0.333 0.667 0.109 B
0.333 0.667 0.510 B
0.667 0.333 0.756 B
0.000 0.000 0.272 C
0.000 0.000 0.756 C
0.333 0.667 0.010 C
0.333 0.667 0.407 C
0.667 0.333 0.150 C
0.667 0.333 0.240 C
0.667 0.333 0.520 C
```

[2]
## TbCeNd2Co2 (PBE)

Data for an optimized crystal structure of TbCeNd2Co2.

Its density of states at the Fermi level is 6.728 states/eV/f.u. Its formation energy is -0.11 eV per atom. The crystal system is orthorhombic. The value obtained for the uncorrected energy is -5.8251 eV/atom. The calculation puts the spin magnetization at 0.00 μB/f.u.

POSCAR file:
```
TbCeNd2Co2
1.0
-3.434 6.434 3.369
3.434 -6.434 3.369
3.434 6.434 -3.369
Tb Ce Nd Co
2 2 4 4
direct
0.250 0.250 0.000 Tb
0.750 0.750 0.000 Tb
0.250 0.750 0.500 Ce
0.750 0.250 0.500 Ce
0.200 0.713 0.913 Nd
0.300 0.213 0.513 Nd
0.700 0.787 0.487 Nd
0.800 0.287 0.087 Nd
0.092 0.285 0.377 Co
0.408 0.785 0.193 Co
0.592 0.215 0.807 Co
0.908 0.715 0.623 Co
```

What did the first record say?
## B5C7 (PBE)

Data for an optimized crystal structure of B5C7.

Its density of states at the Fermi level is 2.064 states/eV/f.u. Its formation energy is 0.44 eV per atom. The crystal system is trigonal. The value obtained for the uncorrected energy is -7.7275 eV/atom. The calculation puts the spin magnetization at 0.07 μB/f.u. For the energy above the most stable polymorph in this dataset, the calculation gives 177 meV/atom.

POSCAR file:
```
B5C7
1.0
2.658 0.000 0.000
-1.329 2.302 0.000
0.000 0.000 16.658
B C
5 7
direct
0.000 0.000 0.000 B
0.000 0.000 0.369 B
0.333 0.667 0.109 B
0.333 0.667 0.510 B
0.667 0.333 0.756 B
0.000 0.000 0.272 C
0.000 0.000 0.756 C
0.333 0.667 0.010 C
0.333 0.667 0.407 C
0.667 0.333 0.150 C
0.667 0.333 0.240 C
0.667 0.333 0.520 C
```

What did the second record say?
## TbCeNd2Co2 (PBE)

Data for an optimized crystal structure of TbCeNd2Co2.

Its density of states at the Fermi level is 6.728 states/eV/f.u. Its formation energy is -0.11 eV per atom. The crystal system is orthorhombic. The value obtained for the uncorrected energy is -5.8251 eV/atom. The calculation puts the spin magnetization at 0.00 μB/f.u.

POSCAR file:
```
TbCeNd2Co2
1.0
-3.434 6.434 3.369
3.434 -6.434 3.369
3.434 6.434 -3.369
Tb Ce Nd Co
2 2 4 4
direct
0.250 0.250 0.000 Tb
0.750 0.750 0.000 Tb
0.250 0.750 0.500 Ce
0.750 0.250 0.500 Ce
0.200 0.713 0.913 Nd
0.300 0.213 0.513 Nd
0.700 0.787 0.487 Nd
0.800 0.287 0.087 Nd
0.092 0.285 0.377 Co
0.408 0.785 0.193 Co
0.592 0.215 0.807 Co
0.908 0.715 0.623 Co
```

> What is the formula in the second record?

TbCeNd2Co2